one:
Computed, not measured: crystalline TlTeSe2 at its relaxed geometry at the PBEsol level of DFT.

Lattice parameters (Å, degrees): 4.309 4.309 6.986 72.44 72.44 63.39
Fractional positions:
Tl 0.000 0.000 0.500
Te 0.500 0.500 0.000
Se 0.255 0.255 0.775
Se 0.745 0.745 0.225



two:
Computed, not measured: crystalline TlTeSe2 at its relaxed geometry at the PBEsol level of DFT.

Lattice parameters (Å, degrees): 3.839 3.797 7.565 90.00 90.00 90.00
Fractional positions:
Tl 0.500 0.500 0.500
Te 0.500 0.000 0.000
Se 0.000 0.000 0.740
Se 0.000 0.000 0.260



The structure with the least stability is one.



one:
Computed, not measured: crystalline TlTeSe2 at its relaxed geometry at the PBEsol level of DFT.

Lattice parameters (Å, degrees): 4.103 4.103 7.375 90.00 90.00 90.00
Fractional positions:
Tl 0.500 0.500 0.831
Te 0.000 0.000 0.328
Se 0.000 0.000 0.985
Se 0.500 0.500 0.356



two:
Computed, not measured: crystalline TlTeSe2 at its relaxed geometry at the PBEsol level of DFT.

Lattice parameters (Å, degrees): 3.895 5.871 5.871 61.53 70.63 70.63
Fractional positions:
Tl 0.000 0.500 0.500
Te 0.500 0.000 0.000
Se 0.207 0.793 0.793
Se 0.793 0.207 0.207



The structure with the least stability is two.



one:
Computed, not measured: crystalline TlTeSe at its relaxed geometry at the PBEsol level of DFT.

Lattice parameters (Å, degrees): 3.055 5.475 5.475 120.00 90.00 90.00
Fractional positions:
Se 0.000 0.000 0.000
Te 0.000 0.333 0.667
Tl 0.500 0.667 0.333



two:
Computed, not measured: crystalline TlTeSe at its relaxed geometry at the PBEsol level of DFT.

Lattice parameters (Å, degrees): 5.054 5.054 5.054 60.00 60.00 60.00
Fractional positions:
Se 0.750 0.750 0.750
Te 0.000 0.000 0.000
Tl 0.500 0.500 0.500



The structure with the least stability is two.



one:
Computed, not measured: crystalline Y2TeSe at its relaxed geometry at the PBEsol level of DFT.

Lattice parameters (Å, degrees): 5.188 5.188 5.188 60.00 60.00 60.00
Each line ends with the local moment (μB).
Fractional positions:
Se 0.500 0.500 0.500  -0.03
Te 0.250 0.250 0.250  -0.04
Y 0.000 0.000 0.000  0.57
Y 0.750 0.750 0.750  0.57



two:
Computed, not measured: crystalline Y2TeSe at its relaxed geometry at the PBEsol level of DFT.

Lattice parameters (Å, degrees): 4.140 4.140 7.288 73.50 73.50 60.00
Fractional positions:
Y 0.738 0.738 0.786
Y 0.262 0.262 0.214
Te 0.500 0.500 0.500
Se 0.000 0.000 0.000



The structure with the least stability is one.



one:
Computed, not measured: crystalline Zn2TeSe at its relaxed geometry at the PBEsol level of DFT.

Lattice parameters (Å, degrees): 4.142 4.142 7.171 73.21 73.21 60.00
Fractional positions:
Zn 0.005 0.005 0.984
Zn 0.495 0.495 0.515
Te 0.624 0.624 0.127
Se 0.125 0.125 0.624



two:
Computed, not measured: crystalline Zn2TeSe at its relaxed geometry at the PBEsol level of DFT.

Lattice parameters (Å, degrees): 3.750 3.820 7.337 90.00 90.00 119.40
Fractional positions:
Se 0.500 0.000 0.500
Te 0.500 0.000 0.000
Zn 0.000 0.000 0.728
Zn 0.000 0.000 0.272



three:
Computed, not measured: crystalline Zn2TeSe at its relaxed geometry at the PBEsol level of DFT.

Lattice parameters (Å, degrees): 3.618 4.719 4.719 98.46 90.00 90.00
Fractional positions:
Se 0.500 0.000 0.000
Te 0.500 0.500 0.500
Zn 0.000 0.500 0.000
Zn 0.000 0.000 0.500



The structure with the least stability is three.



one:
Computed, not measured: crystalline Zn2TeSe at its relaxed geometry at the PBEsol level of DFT.

Lattice parameters (Å, degrees): 5.852 5.852 7.159 114.13 114.13 90.00
Fractional positions:
Zn 0.851 0.375 0.250
Zn 0.399 0.875 0.250
Zn 0.625 0.601 0.750
Zn 0.125 0.149 0.750
Te 0.250 0.750 0.500
Te 0.000 0.000 0.000
Se 0.750 0.250 0.500
Se 0.500 0.500 0.000



two:
Computed, not measured: crystalline Zn2TeSe at its relaxed geometry at the PBEsol level of DFT.

Lattice parameters (Å, degrees): 3.368 3.368 6.966 90.00 90.00 90.00
Fractional positions:
Se 0.500 0.500 0.000
Te 0.500 0.500 0.500
Zn 0.000 0.000 0.792
Zn 0.000 0.000 0.208



The structure with the least stability is two.